1.
A relaxed LiCr2Cl crystal. Source: the Alexandria database, functional GGA-PBE.

a b c (Å): 3.661 3.243 6.426
angles (deg): 90.00 90.00 90.00
Atoms (fractional coordinates):
Cl: 0.000 0.500 0.500
Cr: 0.500 0.500 0.000
Cr: 0.000 0.000 0.000
Li: 0.500 0.000 0.500

## Properties
ΔE_f (raw), eV/atom: 0.092
Energy above the lowest structure with this stoichiometry, meV per atom: 276
Space group: Pmmm (47)
Total magnetization, μB per atom: 0.0117

---

2.
A relaxed LiCrCl crystal. Source: the Alexandria database, functional GGA-PBE.

a b c (Å): 4.479 4.479 3.483
angles (deg): 90.00 90.00 120.00
Atoms (fractional coordinates):
Cl: 0.000 0.000 0.166
Li: 0.667 0.333 0.668
Cr: 0.333 0.667 0.167

## Properties
ΔE_f (raw), eV/atom: 0.070
Energy above the lowest structure with this stoichiometry, meV per atom: 240
Space group: P3m1 (156)
Total magnetization, μB per atom: 1.6952